Record 1
A plane-wave DFT calculation with PBE was carried out for a relaxed structure of GaCuAu.

spin magnetization = 0.0000 μB/atom
DOS at the Fermi energy = 1.17 states/eV/cell
crystal system = tetragonal
ΔE to the lowest computed polymorph = 0.015 eV per atom
calculated total energy = -3.5740 eV per atom
energy of formation = -0.107 eV per atom

Cell: 3.358 3.358 4.766 Å, 110.63 110.63 90.00°
Positions (direct):
Au 0.952 0.952 0.904
Cu 0.620 0.620 0.240
Ga 0.278 0.278 0.556

---

Record 2
A plane-wave DFT calculation with PBE was carried out for a relaxed structure of Ga2CuAu2.

spin magnetization = 0.0000 μB/atom
DOS at the Fermi energy = 1.50 states/eV/cell
crystal system = tetragonal
ΔE to the lowest computed polymorph = 0.206 eV per atom
calculated total energy = -3.2811 eV per atom
energy of formation = 0.060 eV per atom

Cell: 3.706 3.706 7.068 Å, 74.80 74.80 90.00°
Positions (direct):
Au 0.398 0.398 0.204
Au 0.602 0.602 0.796
Cu 0.000 0.000 0.000
Ga 0.750 0.250 0.500
Ga 0.250 0.750 0.500

---

Record 3
A plane-wave DFT calculation with PBE was carried out for a relaxed structure of Ga2Cu7Au3.

spin magnetization = 0.0000 μB/atom
DOS at the Fermi energy = 2.65 states/eV/cell
crystal system = trigonal
ΔE to the lowest computed polymorph = 0.000 eV per atom
calculated total energy = -3.7273 eV per atom
energy of formation = -0.014 eV per atom

Cell: 4.944 4.944 8.699 Å, 73.49 73.49 60.00°
Positions (direct):
Ga 0.666 0.666 0.001
Ga 0.334 0.334 0.999
Cu 0.500 0.500 0.500
Cu 0.917 0.414 0.256
Cu 0.414 0.917 0.256
Cu 0.414 0.414 0.256
Cu 0.083 0.586 0.744
Cu 0.586 0.586 0.744
Cu 0.586 0.083 0.744
Au 0.000 0.000 0.000
Au 0.852 0.852 0.443
Au 0.148 0.148 0.557

---

Record 4
A plane-wave DFT calculation with PBE was carried out for a relaxed structure of GaCu4Au3.

spin magnetization = 0.0000 μB/atom
DOS at the Fermi energy = 3.60 states/eV/cell
crystal system = orthorhombic
ΔE to the lowest computed polymorph = 0.081 eV per atom
calculated total energy = -3.6427 eV per atom
energy of formation = 0.013 eV per atom

Cell: 5.809 5.809 5.809 Å, 79.19 126.61 126.25°
Positions (direct):
Ga 0.304 0.500 0.804
Cu 0.068 0.735 0.803
Cu 0.068 0.265 0.333
Cu 0.599 0.250 0.348
Cu 0.098 0.750 0.348
Au 0.568 0.257 0.824
Au 0.879 0.000 0.879
Au 0.568 0.743 0.311